Record 1
PmFe3Cl12: relaxed, GGA-PBE.

CIF file:
```
data_PmFe3Cl12
_chemical_formula_sum 'Pm2 Fe6 Cl24'
_space_group_name_H-M_alt 'P 63/m'
_space_group_IT_number 176
_space_group_name_Hall '-P 6c'
_cell_length_a 12.4497
_cell_length_b 12.4497
_cell_length_c 7.3377
_cell_angle_alpha 90.00
_cell_angle_beta 90.00
_cell_angle_gamma 120.00
loop_
_atom_site_label
_atom_site_fract_x
_atom_site_fract_y
_atom_site_fract_z
Pm1 0.3333 0.6667 0.2500
Fe1 0.1021 0.6992 0.7500
Cl1 0.0133 0.8084 0.7500
Cl2 0.0245 0.5018 0.2500
Cl3 0.2297 0.7587 0.5031
```

Results
The density comes out at 2.49 Mg/m³. The total energy comes out at -4.360 eV per atom.


Record 2
Pr5FeCl5: relaxed, GGA-PBE.

CIF file:
```
data_Pr5FeCl5
_chemical_formula_sum 'Pr10 Fe2 Cl10'
_space_group_name_H-M_alt 'C 1 2/m 1'
_space_group_IT_number 12
_cell_length_a 12.760
_cell_length_b 5.823
_cell_length_c 8.558
_cell_angle_alpha 90.00
_cell_angle_beta 110.20
_cell_angle_gamma 90.00
loop_
_space_group_symop_operation_xyz
'x,y,z'
'-x,-y,-z'
'-x,y,-z'
'x,-y,z'
'x+1/2,y+1/2,z'
'-x+1/2,-y+1/2,-z'
'-x+1/2,y+1/2,-z'
'x+1/2,-y+1/2,z'
loop_
_atom_site_label
_atom_site_fract_x
_atom_site_fract_y
_atom_site_fract_z
Pr1 0.000 0.000 0.000
Pr2 0.146 0.500 0.291
Pr3 0.168 0.500 0.859
Fe1 0.000 0.500 0.000
Cl1 0.000 0.500 0.500
Cl2 0.149 0.000 0.794
Cl3 0.167 0.000 0.357
```

Results
The density comes out at 5.22 Mg/m³. The total energy comes out at -5.114 eV per atom.


Record 3
Pr4FeCl5: relaxed, GGA-PBE.

CIF file:
```
data_Pr4FeCl5
_chemical_formula_sum 'Pr8 Fe2 Cl10'
_space_group_name_H-M_alt 'C 1 2/m 1'
_space_group_IT_number 12
_cell_length_a 17.871
_cell_length_b 4.121
_cell_length_c 8.907
_cell_angle_alpha 90.00
_cell_angle_beta 106.65
_cell_angle_gamma 90.00
loop_
_space_group_symop_operation_xyz
'x,y,z'
'-x,-y,-z'
'-x,y,-z'
'x,-y,z'
'x+1/2,y+1/2,z'
'-x+1/2,-y+1/2,-z'
'-x+1/2,y+1/2,-z'
'x+1/2,-y+1/2,z'
loop_
_atom_site_label
_atom_site_fract_x
_atom_site_fract_y
_atom_site_fract_z
Pr1 0.002 0.000 0.238
Pr2 0.144 0.500 0.082
Fe1 0.000 0.500 0.000
Cl1 0.000 0.500 0.500
Cl2 0.168 0.000 0.863
Cl3 0.169 0.000 0.319
```

Results
The density comes out at 4.21 Mg/m³. The total energy comes out at -5.207 eV per atom.


Record 4
Pr2FeCl: relaxed, GGA-PBE.

CIF file:
```
data_Pr2FeCl
_chemical_formula_sum 'Pr6 Fe3 Cl3'
_space_group_name_H-M_alt 'R -3 m'
_space_group_IT_number 166
_space_group_name_Hall '-R 3 2"'
_cell_length_a 3.9295
_cell_length_b 3.9295
_cell_length_c 23.5403
_cell_angle_alpha 90.00
_cell_angle_beta 90.00
_cell_angle_gamma 120.00
loop_
_atom_site_label
_atom_site_fract_x
_atom_site_fract_y
_atom_site_fract_z
Pr1 0.0000 0.0000 0.2369
Fe1 0.0000 0.0000 0.5000
Cl1 0.0000 0.0000 0.0000
```

Results
The density comes out at 5.90 Mg/m³. The total energy comes out at -5.542 eV per atom.


no.,magnetic moment (μB/f.u.)
1,15.00
2,0.00
3,0.00
4,0.68